--- i ---
Below is an optimized crystal structure of KNaBi2, with properties calculated at the PBE level.

Calculated values
Total moment = 0.00 μB per cell
Crystal system = tetragonal
Calculated volume = 34.9 A^3/atom

Unit cell a=4.276 b=4.276 c=7.641 alpha=90.00 beta=90.00 gamma=90.00
Atoms (fractional coordinates):
Na 0.500 0.500 0.000
K 0.500 0.500 0.500
Bi 0.000 0.000 0.804
Bi 0.000 0.000 0.196

***

--- ii ---
Below is an optimized crystal structure of KNaBi2, with properties calculated at the PBE level.

Calculated values
Total moment = 0.00 μB per cell
Crystal system = orthorhombic
Calculated volume = 34.0 A^3/atom

Unit cell a=7.124 b=7.330 c=10.421 alpha=90.00 beta=90.00 gamma=90.00
Atoms (fractional coordinates):
K 0.750 0.006 0.270
K 0.750 0.506 0.230
K 0.250 0.994 0.730
K 0.250 0.494 0.770
Na 0.750 0.026 0.727
Na 0.750 0.526 0.773
Na 0.250 0.974 0.273
Na 0.250 0.474 0.227
Bi 0.977 0.715 0.506
Bi 0.523 0.215 0.994
Bi 0.477 0.285 0.494
Bi 0.023 0.785 0.006
Bi 0.023 0.285 0.494
Bi 0.477 0.785 0.006
Bi 0.523 0.715 0.506
Bi 0.977 0.215 0.994

***

Here are the energies relative to the best structure, in meV per atom: i 34; ii 0.